# 1
Ba2SbBr8, optimized geometry, DFT GGA-PBE; energy relative to the elements, uncorrected = -1.265 eV per atom
1.0
11.520 -2.580 0.000
11.520 2.580 0.000
-1.660 0.000 6.363
Ba Sb Br
2 1 8
Direct
0.173 0.173 0.178
0.827 0.827 0.822
0.500 0.500 0.500
0.005 0.005 0.257
0.232 0.232 0.739
0.384 0.384 0.604
0.395 0.395 0.120
0.605 0.605 0.880
0.616 0.616 0.396
0.768 0.768 0.261
0.995 0.995 0.743

***

# 2
BaSbBr3, optimized geometry, DFT GGA-PBE; energy relative to the elements, uncorrected = -0.739 eV per atom; offset from the most stable computed form = 0.30 eV/f.u.
1.0
6.278 0.000 0.000
0.000 6.278 0.000
0.000 0.000 6.278
Ba Sb Br
1 1 3
Direct
0.000 0.000 0.000
0.500 0.500 0.500
0.000 0.000 0.500
0.000 0.500 0.000
0.500 0.000 0.000

***

# 3
BaSbBr, optimized geometry, DFT GGA-PBE; energy relative to the elements, uncorrected = -1.342 eV per atom; offset from the most stable computed form = 0.44 eV/f.u.
1.0
6.519 0.000 0.000
0.000 6.206 0.000
-1.849 0.000 10.920
Ba Sb Br
4 4 4
Direct
0.201 0.000 0.279
0.299 0.500 0.721
0.701 0.500 0.279
0.799 0.000 0.721
0.211 0.000 0.969
0.289 0.500 0.031
0.711 0.500 0.969
0.789 0.000 0.031
0.222 0.500 0.393
0.278 0.000 0.607
0.722 0.000 0.393
0.778 0.500 0.607